A geometry-optimized BaAgTeN2 structure, computed with PBE-GGA.

It has space group P4/mmm (No. 123), with a = 5.115 Å, b = 5.115 Å, c = 7.104 Å, α = 90.00°, β = 90.00° and γ = 90.00°. Symmetry generates all atoms from Ba at (0.000, 0.000, 0.000), Ag at (0.500, 0.500, 0.500), Te at (0.000, 0.000, 0.500) and N at (0.000, 0.500, 0.000).

The calculation puts the energy relative to the lowest polymorph listed for this composition at 0.489 eV per atom. The density of states at the Fermi level comes out at 4.94 states/eV/f.u. For the calculated volume, the calculation gives 185.9 Å³ per cell. The magnetization comes out at 4.79 μB/cell.

=====

A geometry-optimized Sm3Np2Se8 structure, computed with PBE-GGA.

It has space group C2/m (No. 12), with a = 14.810 Å, b = 8.297 Å, c = 7.017 Å, α = 90.00°, β = 109.62° and γ = 90.00°. Symmetry generates all atoms from Sm at (0.000, 0.000, 0.000), Sm at (0.000, 0.261, 0.500), Np at (0.241, 0.500, 0.163), Se at (0.110, 0.500, 0.376), Se at (0.120, 0.000, 0.428) and Se at (0.128, 0.234, 0.917).

Its total energy is -6.668 eV/atom. The density of states at the Fermi level comes out at 18.25 states/eV/f.u. For the calculated volume, the calculation gives 812.2 Å³ per cell. The magnetization comes out at 14.00 μB/cell.

=====

A geometry-optimized Rb2VCoCl6 structure, computed with PBE-GGA.

It has space group I4/mmm (No. 139), with a = 7.288 Å, b = 7.288 Å, c = 9.094 Å, α = 90.00°, β = 90.00° and γ = 90.00°. Symmetry generates all atoms from Rb at (0.000, 0.500, 0.250), V at (0.000, 0.000, 0.000), Co at (0.000, 0.000, 0.500), Cl at (0.000, 0.000, 0.255) and Cl at (0.242, 0.242, 0.000).

Its total energy is -4.184 eV/atom. The density of states at the Fermi level comes out at 7.56 states/eV/f.u. For the calculated volume, the calculation gives 483.0 Å³ per cell. The magnetization comes out at 0.00 μB/cell.

=====

A geometry-optimized CsPd2Cl8 structure, computed with PBE-GGA.

It has space group P4/mmm (No. 123), with a = 6.152 Å, b = 6.152 Å, c = 8.629 Å, α = 90.00°, β = 90.00° and γ = 90.00°. Symmetry generates all atoms from Cs at (0.000, 0.000, 0.000), Pd at (0.000, 0.500, 0.500) and Cl at (0.253, 0.253, 0.324).

The calculation puts the energy relative to the lowest polymorph listed for this composition at 0.425 eV per atom. The density of states at the Fermi level comes out at 12.93 states/eV/f.u. For the calculated volume, the calculation gives 326.6 Å³ per cell. The magnetization comes out at 1.66 μB/cell.

=====

A geometry-optimized NdCuAg structure, computed with PBE-GGA.

It has space group I4mm (No. 107), with a = 3.662 Å, b = 3.662 Å, c = 9.611 Å, α = 90.00°, β = 90.00° and γ = 90.00°. Symmetry generates all atoms from Nd at (0.000, 0.000, 0.000), Cu at (0.000, 0.000, 0.675) and Ag at (0.000, 0.000, 0.312).

The calculation puts the energy relative to the lowest polymorph listed for this composition at 0.101 eV per atom. The density of states at the Fermi level comes out at 1.88 states/eV/f.u. For the calculated volume, the calculation gives 128.9 Å³ per cell. The magnetization comes out at 0.00 μB/cell. The value obtained for the formation enthalpy at 0 K is -0.1324 eV/atom.

=====

A geometry-optimized Tb14HoTh structure, computed with PBE-GGA.

It has space group P4/mmm (No. 123), with a = 7.120 Å, b = 7.120 Å, c = 10.067 Å, α = 90.00°, β = 90.00° and γ = 90.00°. Symmetry generates all atoms from Tb at (0.000, 0.000, 0.000), Tb at (0.000, 0.500, 0.000), Tb at (0.000, 0.500, 0.500), Tb at (0.248, 0.248, 0.252), Tb at (0.500, 0.500, 0.000), Ho at (0.500, 0.500, 0.500) and Th at (0.000, 0.000, 0.500).

The density of states at the Fermi level comes out at 19.65 states/eV/f.u. For the calculated volume, the calculation gives 510.4 Å³ per cell. The magnetization comes out at 0.00 μB/cell. The value obtained for the formation enthalpy at 0 K is 0.0166 eV/atom.

=====

A geometry-optimized Rb3TeMo structure, computed with PBE-GGA.

It has space group Pm-3m (No. 221), with a = 6.968 Å, b = 6.968 Å, c = 6.968 Å, α = 90.00°, β = 90.00° and γ = 90.00°. Symmetry generates all atoms from Rb at (0.000, 0.000, 0.500), Te at (0.000, 0.000, 0.000) and Mo at (0.500, 0.500, 0.500).

The calculation puts the energy relative to the lowest polymorph listed for this composition at 0.000 eV per atom. The density of states at the Fermi level comes out at 0.00 states/eV/f.u. For the calculated volume, the calculation gives 338.3 Å³ per cell. The magnetization comes out at 5.00 μB/cell.

=====

A geometry-optimized Ca2SiIr structure, computed with PBE-GGA.

It has space group Pmm2 (No. 25), with a = 3.182 Å, b = 3.328 Å, c = 8.634 Å, α = 90.00°, β = 90.00° and γ = 90.00°. Symmetry generates all atoms from Ca at (0.000, 0.000, 0.000), Ca at (0.500, 0.500, 0.394), Si at (0.500, 0.500, 0.758) and Ir at (0.000, 0.000, 0.638).

Its total energy is -4.929 eV/atom. The density of states at the Fermi level comes out at 3.10 states/eV/f.u. For the calculated volume, the calculation gives 91.4 Å³ per cell. The magnetization comes out at 0.00 μB/cell.

=====

A geometry-optimized ZrPaAl2 structure, computed with PBE-GGA.

It has space group P4/mmm (No. 123), with a = 3.086 Å, b = 3.086 Å, c = 8.571 Å, α = 90.00°, β = 90.00° and γ = 90.00°. Symmetry generates all atoms from Zr at (0.000, 0.000, 0.000), Pa at (0.000, 0.000, 0.500) and Al at (0.500, 0.500, 0.236).

The calculation puts the energy relative to the lowest polymorph listed for this composition at 0.000 eV per atom. The density of states at the Fermi level comes out at 4.70 states/eV/f.u. For the calculated volume, the calculation gives 81.6 Å³ per cell. The magnetization comes out at 0.66 μB/cell. The value obtained for the formation enthalpy at 0 K is -0.2973 eV/atom.

=====

A geometry-optimized Ti4CoMo structure, computed with PBE-GGA.

It has space group C2/m (No. 12), with a = 7.667 Å, b = 4.438 Å, c = 6.698 Å, α = 90.00°, β = 112.57° and γ = 90.00°. Symmetry generates all atoms from Ti at (0.121, 0.000, 0.364), Ti at (0.132, 0.500, 0.896), Co at (0.000, 0.000, 0.000) and Mo at (0.000, 0.500, 0.500).

The density of states at the Fermi level comes out at 6.45 states/eV/f.u. For the calculated volume, the calculation gives 210.5 Å³ per cell. The magnetization comes out at 0.00 μB/cell. The value obtained for the formation enthalpy at 0 K is 0.2255 eV/atom.

=====

A geometry-optimized Tm3Si5Pt6 structure, computed with PBE-GGA.

It has space group Pmmn (No. 59, origin choice 2), with a = 4.040 Å, b = 12.566 Å, c = 9.409 Å, α = 90.00°, β = 90.00° and γ = 90.00°. Symmetry generates all atoms from Tm at (0.250, 0.080, 0.244), Tm at (0.250, 0.750, 0.263), Si at (0.250, 0.085, 0.849), Si at (0.250, 0.637, 0.546), Si at (0.250, 0.750, 0.830), Pt at (0.250, 0.053, 0.599), Pt at (0.250, 0.250, 0.005), Pt at (0.250, 0.250, 0.477) and Pt at (0.250, 0.583, 0.011).

Its total energy is -6.523 eV/atom. The density of states at the Fermi level comes out at 6.75 states/eV/f.u. For the calculated volume, the calculation gives 477.6 Å³ per cell. The magnetization comes out at 0.00 μB/cell.

=====

A geometry-optimized Ca6GaAg5 structure, computed with PBE-GGA.

It has space group Cmmm (No. 65), with a = 5.262 Å, b = 15.822 Å, c = 7.338 Å, α = 90.00°, β = 90.00° and γ = 90.00°. Symmetry generates all atoms from Ca at (0.000, 0.000, 0.246), Ca at (0.000, 0.335, 0.246), Ga at (0.000, 0.500, 0.000), Ag at (0.000, 0.165, 0.000), Ag at (0.000, 0.168, 0.500) and Ag at (0.000, 0.500, 0.500).

The density of states at the Fermi level comes out at 7.73 states/eV/f.u. For the calculated volume, the calculation gives 611.0 Å³ per cell. The magnetization comes out at 0.00 μB/cell. The value obtained for the formation enthalpy at 0 K is -0.3344 eV/atom.

=====

A geometry-optimized Tb2CeIrN4 structure, computed with PBE-GGA.

It has space group Cmcm (No. 63), with a = 3.384 Å, b = 11.748 Å, c = 11.690 Å, α = 90.00°, β = 90.00° and γ = 90.00°. Symmetry generates all atoms from Tb at (0.000, 0.129, 0.047), Ce at (0.000, 0.386, 0.250), Ir at (0.000, 0.353, 0.750), N at (0.000, 0.043, 0.250), N at (0.000, 0.222, 0.632) and N at (0.000, 0.500, 0.000).

Its total energy is -8.169 eV/atom. The density of states at the Fermi level comes out at 2.97 states/eV/f.u. For the calculated volume, the calculation gives 464.8 Å³ per cell. The magnetization comes out at 0.00 μB/cell.

=====

A geometry-optimized LiCdCo3 structure, computed with PBE-GGA.

It has space group Pm-3m (No. 221), with a = 4.781 Å, b = 4.781 Å, c = 4.781 Å, α = 90.00°, β = 90.00° and γ = 90.00°. Symmetry generates all atoms from Li at (0.000, 0.000, 0.000), Cd at (0.500, 0.500, 0.500) and Co at (0.000, 0.500, 0.500).

The calculation puts the energy relative to the lowest polymorph listed for this composition at 0.637 eV per atom. The density of states at the Fermi level comes out at 9.83 states/eV/f.u. For the calculated volume, the calculation gives 109.3 Å³ per cell. The magnetization comes out at 5.24 μB/cell. The value obtained for the formation enthalpy at 0 K is 1.5326 eV/atom.

=====

A geometry-optimized Dy14ErCd structure, computed with PBE-GGA.

It has space group Amm2 (No. 38), with a = 9.968 Å, b = 9.917 Å, c = 9.920 Å, α = 90.00°, β = 90.00° and γ = 90.00°. Symmetry generates all atoms from Dy at (0.000, 0.000, 0.000), Dy at (0.000, 0.000, 0.500), Dy at (0.000, 0.250, 0.250), Dy at (0.252, 0.000, 0.249), Dy at (0.253, 0.000, 0.750), Dy at (0.253, 0.250, 0.000), Dy at (0.500, 0.249, 0.250), Er at (0.500, 0.000, 0.000) and Cd at (0.500, 0.000, 0.500).

The density of states at the Fermi level comes out at 20.78 states/eV/f.u. For the calculated volume, the calculation gives 980.6 Å³ per cell. The magnetization comes out at 0.00 μB/cell. The value obtained for the formation enthalpy at 0 K is -0.0010 eV/atom.

=====

A geometry-optimized BaAlIr2 structure, computed with PBE-GGA.

It has space group Fm-3m (No. 225), with a = 6.820 Å, b = 6.820 Å, c = 6.820 Å, α = 90.00°, β = 90.00° and γ = 90.00°. Symmetry generates all atoms from Ba at (0.000, 0.000, 0.000), Al at (0.000, 0.000, 0.500) and Ir at (0.250, 0.250, 0.250).

The calculation puts the energy relative to the lowest polymorph listed for this composition at 0.798 eV per atom. The density of states at the Fermi level comes out at 2.55 states/eV/f.u. For the calculated volume, the calculation gives 317.2 Å³ per cell. The magnetization comes out at 0.00 μB/cell. The value obtained for the formation enthalpy at 0 K is 0.4152 eV/atom.

=====

A geometry-optimized TcH2W structure, computed with PBE-GGA.

It has space group R-3m (No. 166, hexagonal axes), with a = 2.9258 Å, b = 2.9258 Å, c = 14.9131 Å, α = 90.00°, β = 90.00° and γ = 120.00°. Symmetry generates all atoms from Tc at (0.0000, 0.0000, 0.0000), H at (0.0000, 0.0000, 0.3778) and W at (0.0000, 0.0000, 0.5000).

The calculation puts the energy relative to the lowest polymorph listed for this composition at 0.000 eV per atom. The density of states at the Fermi level comes out at 2.09 states/eV/f.u. For the calculated volume, the calculation gives 110.6 Å³ per cell. The magnetization comes out at 0.00 μB/cell.

=====

A geometry-optimized Cu2AgSe2O10 structure, computed with PBE-GGA.

It has space group C2/m (No. 12), with a = 9.512 Å, b = 6.141 Å, c = 8.214 Å, α = 90.00°, β = 121.73° and γ = 90.00°. Symmetry generates all atoms from Cu at (0.250, 0.250, 0.000), Ag at (0.000, 0.000, 0.500), Se at (0.078, 0.500, 0.299), O at (0.046, 0.270, 0.756), O at (0.171, 0.500, 0.176), O at (0.176, 0.000, 0.042) and O at (0.208, 0.500, 0.531).

Its total energy is -4.863 eV/atom. The density of states at the Fermi level comes out at 1.44 states/eV/f.u. For the calculated volume, the calculation gives 408.1 Å³ per cell. The magnetization comes out at 2.03 μB/cell.

=====

A geometry-optimized Ba3Pa3VN8 structure, computed with PBE-GGA.

It has space group R-3m (No. 166, hexagonal axes), with a = 6.9751 Å, b = 6.9751 Å, c = 19.2367 Å, α = 90.00°, β = 90.00° and γ = 120.00°. Symmetry generates all atoms from Ba at (0.0000, 0.5000, 0.0000), Pa at (0.0000, 0.5000, 0.5000), V at (0.0000, 0.0000, 0.5000), N at (0.0000, 0.0000, 0.2274) and N at (0.0152, 0.5076, 0.2207).

Its total energy is -8.429 eV/atom. The density of states at the Fermi level comes out at 5.06 states/eV/f.u. For the calculated volume, the calculation gives 810.7 Å³ per cell. The magnetization comes out at 2.40 μB/cell.

=====

A geometry-optimized LiNbCr2 structure, computed with PBE-GGA.

It has space group I-42d (No. 122), with a = 6.700 Å, b = 6.700 Å, c = 4.961 Å, α = 90.00°, β = 90.00° and γ = 90.00°. Symmetry generates all atoms from Li at (0.000, 0.000, 0.000), Nb at (0.000, 0.000, 0.500) and Cr at (0.229, 0.750, 0.125).

The calculation puts the energy relative to the lowest polymorph listed for this composition at 0.385 eV per atom. The density of states at the Fermi level comes out at 2.87 states/eV/f.u. For the calculated volume, the calculation gives 222.7 Å³ per cell. The magnetization comes out at 3.91 μB/cell. The value obtained for the formation enthalpy at 0 K is 0.8889 eV/atom.

=====

A geometry-optimized Ba2MnIn structure, computed with PBE-GGA.

It has space group Pmmm (No. 47), with a = 4.191 Å, b = 4.263 Å, c = 8.291 Å, α = 90.00°, β = 90.00° and γ = 90.00°. Symmetry generates all atoms from Ba at (0.000, 0.000, 0.244), Mn at (0.500, 0.500, 0.000) and In at (0.500, 0.500, 0.500).

The calculation puts the energy relative to the lowest polymorph listed for this composition at 0.075 eV per atom. The density of states at the Fermi level comes out at 4.28 states/eV/f.u. For the calculated volume, the calculation gives 148.1 Å³ per cell. The magnetization comes out at 4.18 μB/cell. The value obtained for the formation enthalpy at 0 K is 0.1598 eV/atom.

=====

A geometry-optimized Th6GeC3N2 structure, computed with PBE-GGA.

It has space group C2/m (No. 12), with a = 16.984 Å, b = 3.821 Å, c = 7.726 Å, α = 90.00°, β = 104.03° and γ = 90.00°. Symmetry generates all atoms from Th at (0.004, 0.000, 0.224), Th at (0.169, 0.500, 0.078), Th at (0.177, 0.500, 0.590), Ge at (0.000, 0.500, 0.500), C at (0.000, 0.500, 0.000), C at (0.170, 0.000, 0.327) and N at (0.180, 0.000, 0.844).

Its total energy is -8.468 eV/atom. The density of states at the Fermi level comes out at 6.85 states/eV/f.u. For the calculated volume, the calculation gives 486.4 Å³ per cell. The magnetization comes out at 0.00 μB/cell.